Record 1
DFT (PBE-GGA) results for a relaxed structure of Si2BiPRh.

Cell: 4.683 4.683 4.750 Å, 90.00 90.00 90.00°
Sites, in units of the cell vectors:
Si1 0.000 0.500 0.000
Si2 0.500 0.000 0.000
Bi1 0.000 0.000 0.500
P1 0.500 0.500 0.500
Rh1 0.500 0.500 0.000

## Properties
As for the total energy: -25.63 eV for the cell shown. The value obtained for the calculated volume is 104.2 Å³/f.u. The calculation puts the density of states at the Fermi level at 3.17 states/eV/cell. Its raw formation energy is 0.37 eV per atom. As for the size of the total moment: 0.00 μB per formula unit.

---

Record 2
DFT (PBE-GGA) results for a relaxed structure of LiAgTeO4.

Cell: 5.591 5.591 5.591 Å, 124.53 124.53 82.31°
Sites, in units of the cell vectors:
Li1 0.000 0.000 0.000
Ag1 0.750 0.250 0.500
Te1 0.250 0.750 0.500
O1 0.134 0.700 0.088
O2 0.300 0.388 0.434
O3 0.612 0.046 0.912
O4 0.954 0.866 0.566

## Properties
As for the total energy: -34.46 eV for the cell shown. The value obtained for the calculated volume is 114.0 Å³/f.u. Its raw formation energy is -0.96 eV per atom. As for the size of the total moment: 0.00 μB per formula unit.